Entry from Alexandria: crystalline DyHo5Sc4 at its relaxed geometry (PBE).

Output
The value obtained for the formation energy from the elements is 0.339 eV per atom. The value obtained for the excess energy over the best structure of this formula in the dataset is 0.183 eV per atom.

a = 9.7773 Å, b = 9.7773 Å, c = 6.1268 Å
α = 90.00°, β = 90.00°, γ = 90.00°
Space group I4 (No. 79)
One atom of each set of equivalent atoms:
1 Dy 0.0000 0.0000 0.0000 x2
2 Ho 0.0000 0.0000 0.5430 x2
3 Ho 0.1468 0.2440 0.2719 x8
4 Sc 0.0556 0.3570 0.7715 x8

Entry from Alexandria: crystalline Pr4CoOsCl2 at its relaxed geometry (PBE).

Output
Its uncorrected formation energy is -6.2 eV/f.u.

a = 6.9873 Å, b = 4.0546 Å, c = 8.0195 Å
α = 90.00°, β = 106.94°, γ = 90.00°
Space group P2/m (No. 10)
One atom of each set of equivalent atoms:
1 Pr 0.2315 0.0000 0.2031 x2
2 Pr 0.2617 0.5000 0.7921 x2
3 Co 0.0000 0.5000 0.0000 x1
4 Os 0.5000 0.0000 0.0000 x1
5 Cl 0.0000 0.0000 0.5000 x1
6 Cl 0.5000 0.5000 0.5000 x1

Entry from Alexandria: crystalline CaMoSe2 at its relaxed geometry (PBE).

Output
Its uncorrected formation energy is -1.4 eV/f.u. The value obtained for the excess energy over the best structure of this formula in the dataset is 0.428 eV per atom.

a = 3.5263 Å, b = 3.5263 Å, c = 27.2684 Å
α = 90.00°, β = 90.00°, γ = 120.00°
Space group R-3m (No. 166, hexagonal axes)
One atom of each set of equivalent atoms:
1 Ca 0.0000 0.0000 0.0000 x3
2 Mo 0.0000 0.0000 0.5000 x3
3 Se 0.0000 0.0000 0.1073 x6

Entry from Alexandria: crystalline La2SmRuO8 at its relaxed geometry (PBE).

Output
Its uncorrected formation energy is -27.7 eV/f.u.

a = 4.8172 Å, b = 5.3778 Å, c = 7.0606 Å
α = 91.71°, β = 90.79°, γ = 91.83°
Space group P-1 (No. 2)
One atom of each set of equivalent atoms:
1 La 0.0556 0.0368 0.2537 x2
2 Sm 0.5000 0.5000 0.0000 x1
3 Ru 0.5000 0.5000 0.5000 x1
4 O 0.1348 0.2260 0.9795 x2
5 O 0.1797 0.3084 0.5317 x2
6 O 0.3355 0.6806 0.2961 x2
7 O 0.3992 0.7379 0.7114 x2

Entry from Alexandria: crystalline ScBe2Ag at its relaxed geometry (PBE).

Output
The value obtained for the formation energy from the elements is 0.214 eV per atom. The value obtained for the excess energy over the best structure of this formula in the dataset is 0.221 eV per atom.

a = 4.2096 Å, b = 4.2096 Å, c = 3.3368 Å
α = 90.00°, β = 90.00°, γ = 90.00°
Space group P4/mmm (No. 123)
One atom of each set of equivalent atoms:
1 Sc 0.0000 0.0000 0.0000 x1
2 Be 0.0000 0.5000 0.5000 x2
3 Ag 0.5000 0.5000 0.0000 x1

Entry from Alexandria: crystalline CuNi7B5 at its relaxed geometry (PBE).

Output
The value obtained for the formation energy from the elements is -0.027 eV per atom.

a = 4.1613 Å, b = 7.3670 Å, c = 7.5054 Å
α = 90.00°, β = 90.00°, γ = 90.00°
Space group Imm2 (No. 44)
One atom of each set of equivalent atoms:
1 Cu 0.0000 0.0000 0.0000 x2
2 Ni 0.0000 0.0000 0.3303 x2
3 Ni 0.0000 0.0000 0.6598 x2
4 Ni 0.0000 0.3261 0.4128 x4
5 Ni 0.0000 0.3362 0.9765 x4
6 Ni 0.0000 0.5000 0.6845 x2
7 B 0.0000 0.5000 0.2005 x2
8 B 0.2488 0.2349 0.1943 x8

Entry from Alexandria: crystalline LiErMg2Se4 at its relaxed geometry (PBE).

Output
Its uncorrected formation energy is -11.6 eV/f.u.

a = 6.7826 Å, b = 3.9868 Å, c = 6.8065 Å
α = 90.00°, β = 108.47°, γ = 90.00°
Space group P2/m (No. 10)
One atom of each set of equivalent atoms:
1 Li 0.0000 0.0000 0.0000 x1
2 Er 0.5000 0.5000 0.0000 x1
3 Mg 0.0000 0.5000 0.5000 x1
4 Mg 0.5000 0.0000 0.5000 x1
5 Se 0.2432 0.0000 0.7471 x2
6 Se 0.2532 0.5000 0.2628 x2

Entry from Alexandria: crystalline In3SnBr4 at its relaxed geometry (PBE).

Output
Its uncorrected formation energy is -3.9 eV/f.u.

a = 12.7796 Å, b = 6.7048 Å, c = 6.7835 Å
α = 90.00°, β = 90.00°, γ = 90.00°
Space group Pmn2_1 (No. 31)
One atom of each set of equivalent atoms:
1 In 0.0000 0.1721 0.0000 x2
2 In 0.2491 0.7200 0.8881 x4
3 Sn 0.0000 0.8291 0.3798 x2
4 Br 0.0000 0.2101 0.5408 x2
5 Br 0.0000 0.7381 0.8609 x2
6 Br 0.2391 0.8113 0.3914 x4

Entry from Alexandria: crystalline KLaNi2 at its relaxed geometry (PBE).

Output
The value obtained for the formation energy from the elements is 0.529 eV per atom. The value obtained for the excess energy over the best structure of this formula in the dataset is 0.523 eV per atom.

a = 6.8937 Å, b = 6.8937 Å, c = 6.8937 Å
α = 90.00°, β = 90.00°, γ = 90.00°
Space group F-43m (No. 216)
One atom of each set of equivalent atoms:
1 K 0.0000 0.0000 0.0000 x4
2 La 0.2500 0.2500 0.2500 x4
3 Ni 0.0000 0.0000 0.5000 x4
4 Ni 0.2500 0.2500 0.7500 x4

Entry from Alexandria: crystalline TcIr2Ru at its relaxed geometry (PBE).

Output
The value obtained for the formation energy from the elements is -0.090 eV per atom. The value obtained for the excess energy over the best structure of this formula in the dataset is 0.078 eV per atom.

a = 3.8668 Å, b = 3.8668 Å, c = 7.6716 Å
α = 90.00°, β = 90.00°, γ = 90.00°
Space group I-4m2 (No. 119)
One atom of each set of equivalent atoms:
1 Tc 0.0000 0.0000 0.0000 x2
2 Ir 0.0000 0.0000 0.5000 x2
3 Ir 0.0000 0.5000 0.7500 x2
4 Ru 0.0000 0.5000 0.2500 x2

Entry from Alexandria: crystalline Pr2MgGaPd6 at its relaxed geometry (PBE).

Output
The value obtained for the formation energy from the elements is -0.579 eV per atom.

a = 9.9658 Å, b = 5.7558 Å, c = 8.6473 Å
α = 90.00°, β = 112.45°, γ = 90.00°
Space group C2/m (No. 12)
One atom of each set of equivalent atoms:
1 Pr 0.2077 0.0000 0.1240 x4
2 Mg 0.0000 0.0000 0.5000 x2
3 Ga 0.0000 0.5000 0.0000 x2
4 Pd 0.0098 0.2443 0.7709 x8
5 Pd 0.2465 0.5000 0.2298 x4